First-principles (PBE) data for crystalline CrCuAu4 at its relaxed geometry, as listed in Alexandria via LeMat-Bulk.

Magnetic moment: 4.674 μB per formula unit
ΔE_f: 0.297 eV/atom
Calculated total energy: -4.175 eV/atom

```
CrCuAu4
1.0
0.000 3.849 3.849
3.849 0.000 3.849
3.849 3.849 0.000
Cr Cu Au
1 1 4
direct
0.000 0.000 0.000
0.750 0.750 0.750
0.375 0.375 0.375
0.375 0.375 0.875
0.375 0.875 0.375
0.875 0.375 0.375
```